Version one
Density functional theory data (GGA-PBEsol) for Zn2CrRu after structural relaxation.

Cell and atoms, written as CIF:
```
data_Zn2CrRu
_symmetry_space_group_name_H-M 'I m m 2'
_symmetry_Int_Tables_number 44
_symmetry_space_group_name_Hall 'I 2 -2'
_cell_length_a 3.053
_cell_length_b 4.195
_cell_length_c 8.067
_cell_angle_alpha 90.00
_cell_angle_beta 90.00
_cell_angle_gamma 90.00
loop_
_atom_site_label
_atom_site_type_symbol
_atom_site_fract_x
_atom_site_fract_y
_atom_site_fract_z
Zn1 Zn 0.000 0.000 0.000
Zn2 Zn 0.000 0.500 0.253
Cr1 Cr 0.000 0.500 0.757
Ru1 Ru 0.000 0.000 0.492
```

The calculation puts the spin magnetization at 0.37 μB per atom.

Version two
Density functional theory data (GGA-PBEsol) for Zn2CrRu after structural relaxation.

Cell and atoms, written as CIF:
```
data_Zn2CrRu
_symmetry_space_group_name_H-M 'F m -3 m'
_symmetry_Int_Tables_number 225
_symmetry_space_group_name_Hall '-F 4 2 3'
_cell_length_a 5.983
_cell_length_b 5.983
_cell_length_c 5.983
_cell_angle_alpha 90.00
_cell_angle_beta 90.00
_cell_angle_gamma 90.00
loop_
_atom_site_label
_atom_site_type_symbol
_atom_site_fract_x
_atom_site_fract_y
_atom_site_fract_z
Zn1 Zn 0.250 0.250 0.250
Cr1 Cr 0.000 0.000 0.000
Ru1 Ru 0.000 0.000 0.500
```

The calculation puts the spin magnetization at 0.94 μB per atom.

Version three
Density functional theory data (GGA-PBEsol) for Zn2CrRu after structural relaxation.

Cell and atoms, written as CIF:
```
data_Zn2CrRu
_symmetry_space_group_name_H-M 'P 4 m m'
_symmetry_Int_Tables_number 99
_symmetry_space_group_name_Hall 'P 4 -2'
_cell_length_a 2.845
_cell_length_b 2.845
_cell_length_c 6.416
_cell_angle_alpha 90.00
_cell_angle_beta 90.00
_cell_angle_gamma 90.00
loop_
_atom_site_label
_atom_site_type_symbol
_atom_site_fract_x
_atom_site_fract_y
_atom_site_fract_z
Zn1 Zn 0.000 0.000 0.000
Zn2 Zn 0.500 0.500 0.261
Cr1 Cr 0.000 0.000 0.518
Ru1 Ru 0.500 0.500 0.727
```

The calculation puts the spin magnetization at 0.00 μB per atom.

Which one sits at the top of the stability order? version three does.

Version one
Density functional theory data (GGA-PBEsol) for ZrCr2Ru after structural relaxation.

Cell and atoms, written as CIF:
```
data_ZrCr2Ru
_symmetry_space_group_name_H-M 'I m m m'
_symmetry_Int_Tables_number 71
_symmetry_space_group_name_Hall '-I 2 2'
_cell_length_a 3.048
_cell_length_b 4.262
_cell_length_c 8.696
_cell_angle_alpha 90.00
_cell_angle_beta 90.00
_cell_angle_gamma 90.00
loop_
_atom_site_label
_atom_site_type_symbol
_atom_site_fract_x
_atom_site_fract_y
_atom_site_fract_z
Zr1 Zr 0.000 0.000 0.000
Cr1 Cr 0.000 0.500 0.246
Ru1 Ru 0.000 0.000 0.500
```

The calculation puts the spin magnetization at 0.00 μB per atom.

Version two
Density functional theory data (GGA-PBEsol) for ZrCr2Ru after structural relaxation.

Cell and atoms, written as CIF:
```
data_ZrCr2Ru
_symmetry_space_group_name_H-M 'P 4 m m'
_symmetry_Int_Tables_number 99
_symmetry_space_group_name_Hall 'P 4 -2'
_cell_length_a 2.992
_cell_length_b 2.992
_cell_length_c 6.268
_cell_angle_alpha 90.00
_cell_angle_beta 90.00
_cell_angle_gamma 90.00
loop_
_atom_site_label
_atom_site_type_symbol
_atom_site_fract_x
_atom_site_fract_y
_atom_site_fract_z
Zr1 Zr 0.000 0.000 0.000
Cr1 Cr 0.000 0.000 0.480
Cr2 Cr 0.500 0.500 0.278
Ru1 Ru 0.500 0.500 0.720
```

The calculation puts the spin magnetization at 0.01 μB per atom.

Version three
Density functional theory data (GGA-PBEsol) for ZrCr2Ru after structural relaxation.

Cell and atoms, written as CIF:
```
data_ZrCr2Ru
_symmetry_space_group_name_H-M 'P 1 m 1'
_symmetry_Int_Tables_number 6
_symmetry_space_group_name_Hall 'P -2y'
_cell_length_a 2.803
_cell_length_b 3.904
_cell_length_c 5.336
_cell_angle_alpha 90.00
_cell_angle_beta 102.16
_cell_angle_gamma 90.00
loop_
_atom_site_label
_atom_site_type_symbol
_atom_site_fract_x
_atom_site_fract_y
_atom_site_fract_z
Zr1 Zr 0.000 0.000 0.000
Cr1 Cr 0.532 0.000 0.484
Cr2 Cr 0.714 0.500 0.296
Ru1 Ru 0.274 0.500 0.717
```

The calculation puts the spin magnetization at 0.00 μB per atom.

Which one sits at the top of the stability order? version two does.

Version one
Density functional theory data (GGA-PBEsol) for ScCrSb2 after structural relaxation.

Cell and atoms, written as CIF:
```
data_ScCrSb2
_symmetry_space_group_name_H-M 'F -4 3 m'
_symmetry_Int_Tables_number 216
_symmetry_space_group_name_Hall 'F -4 2 3'
_cell_length_a 7.017
_cell_length_b 7.017
_cell_length_c 7.017
_cell_angle_alpha 90.00
_cell_angle_beta 90.00
_cell_angle_gamma 90.00
loop_
_atom_site_label
_atom_site_type_symbol
_atom_site_fract_x
_atom_site_fract_y
_atom_site_fract_z
Sc1 Sc 0.000 0.000 0.000
Cr1 Cr 0.250 0.250 0.750
Sb1 Sb 0.000 0.000 0.500
Sb2 Sb 0.250 0.250 0.250
```

The calculation puts the spin magnetization at 0.85 μB per atom.

Version two
Density functional theory data (GGA-PBEsol) for ScCrSb2 after structural relaxation.

Cell and atoms, written as CIF:
```
data_ScCrSb2
_symmetry_space_group_name_H-M 'I -4 2 d'
_symmetry_Int_Tables_number 122
_symmetry_space_group_name_Hall 'I -4 2bw'
_cell_length_a 5.632
_cell_length_b 5.632
_cell_length_c 14.817
_cell_angle_alpha 90.00
_cell_angle_beta 90.00
_cell_angle_gamma 90.00
loop_
_atom_site_label
_atom_site_type_symbol
_atom_site_fract_x
_atom_site_fract_y
_atom_site_fract_z
Sc1 Sc 0.000 0.000 0.000
Cr1 Cr 0.000 0.000 0.500
Sb1 Sb 0.210 0.250 0.625
```

The calculation puts the spin magnetization at 0.75 μB per atom.

Which one sits at the top of the stability order? version one does.